Below is crystalline AcHgW2O8 at its relaxed geometry, with properties calculated at the PBE+U level.

Cell: 5.6378 5.6378 9.0431 Å, 71.84 71.84 60.00°
With the nearest neighbours (Å) after each atom.
Element x y z (fractional)
Ac  0.5000  0.5000  0.5000  6 O 2.50
Hg  0.0000  0.0000  0.0000  12 O 3.26-3.32
W  0.7445  0.7445  0.7666  4 O 1.80-1.82
W  0.2555  0.2555  0.2334  4 O 1.80-1.82
O  0.6732  0.6732  0.9803  1 W 1.80
O  0.3268  0.3268  0.0197  1 W 1.80
O  0.5255  0.2382  0.3126  1 W 1.82
O  0.7618  0.4745  0.6874  1 W 1.82
O  0.0762  0.7618  0.6874  1 W 1.82
O  0.2382  0.9238  0.3126  1 W 1.82
O  0.9238  0.5255  0.3126  1 W 1.82
O  0.4745  0.0762  0.6874  1 W 1.82

Results
**Final energy**: -6.812 eV per atom
**V**: 232 Å³/f.u.
**Space group**: R32 (155)
**DOS(E_F)**: 3.64 states/eV per cell